Computed, not measured: CsCa2TiBr8 after structural relaxation at the PBE level of DFT.

Values from the calculation:
Its crystal system is triclinic. For the formation energy (no corrections), the calculation gives -1.612 eV/atom.

Cell: 6.666 6.898 9.261 Å, 89.88 89.82 88.60°
Atoms (fractional coordinates):
Cs (0.000, 0.000, 0.000)
Ca (0.500, 0.500, 0.254)
Ca (0.500, 0.500, 0.746)
Ti (0.000, 0.000, 0.500)
Br (0.230, 0.837, 0.691)
Br (0.232, 0.839, 0.309)
Br (0.248, 0.313, 0.500)
Br (0.264, 0.409, 0.001)
Br (0.736, 0.591, 0.999)
Br (0.752, 0.687, 0.500)
Br (0.768, 0.161, 0.691)
Br (0.770, 0.163, 0.309)